Entry 1:
{
  "formula": "YZr3",
  "functional": "PBE-GGA",
  "state": "relaxed",
  "cell": [[6.633, 0.000, 0.000], [3.317, 5.745, 0.000], [0.000, 0.000, 10.545]],
  "species": ["Y", "Y", "Y", "Y", "Zr", "Zr", "Zr", "Zr", "Zr", "Zr", "Zr", "Zr", "Zr", "Zr", "Zr", "Zr"],
  "frac_coords": [[0.000, 0.000, 0.000], [0.000, 0.000, 0.500], [0.667, 0.667, 0.250], [0.333, 0.333, 0.750], [0.500, 0.500, 0.000], [0.500, 0.500, 0.500], [0.827, 0.347, 0.750], [0.347, 0.827, 0.750], [0.173, 0.173, 0.250], [0.500, 0.000, 0.000], [0.500, 0.000, 0.500], [0.000, 0.500, 0.000], [0.000, 0.500, 0.500], [0.827, 0.827, 0.750], [0.653, 0.173, 0.250], [0.173, 0.653, 0.250]],
  "volume_a3_per_cell": 401.8,
  "delta_e_f_mev_per_atom": 101,
  "final_energy_ev_per_atom": -7.926,
  "total_magnetization_mub_per_atom": 0.000
}

---

Entry 2:
{
  "formula": "ErIn2ReO8",
  "functional": "PBE-GGA",
  "state": "relaxed",
  "cell": [[-1.264, -0.426, -4.778], [-0.218, -4.913, 0.625], [-6.327, 0.488, 1.631]],
  "species": ["Er", "In", "In", "Re", "O", "O", "O", "O", "O", "O", "O", "O"],
  "frac_coords": [[0.000, 0.000, 0.500], [0.500, 0.500, 0.749], [0.500, 0.500, 0.251], [0.000, 0.000, 0.000], [0.182, 0.818, 0.209], [0.717, 0.718, 0.000], [0.818, 0.182, 0.209], [0.818, 0.182, 0.791], [0.283, 0.282, 0.000], [0.182, 0.818, 0.791], [0.693, 0.693, 0.500], [0.307, 0.307, 0.500]],
  "volume_a3_per_cell": 161.1,
  "final_energy_ev_per_atom": -7.110,
  "total_magnetization_mub_per_atom": 0.000,
  "raw_formation_energy_kj_per_mol_fu": -2235
}

---

What did the first record say?
{
  "formula": "YZr3",
  "functional": "PBE-GGA",
  "state": "relaxed",
  "cell": [[6.633, 0.000, 0.000], [3.317, 5.745, 0.000], [0.000, 0.000, 10.545]],
  "species": ["Y", "Y", "Y", "Y", "Zr", "Zr", "Zr", "Zr", "Zr", "Zr", "Zr", "Zr", "Zr", "Zr", "Zr", "Zr"],
  "frac_coords": [[0.000, 0.000, 0.000], [0.000, 0.000, 0.500], [0.667, 0.667, 0.250], [0.333, 0.333, 0.750], [0.500, 0.500, 0.000], [0.500, 0.500, 0.500], [0.827, 0.347, 0.750], [0.347, 0.827, 0.750], [0.173, 0.173, 0.250], [0.500, 0.000, 0.000], [0.500, 0.000, 0.500], [0.000, 0.500, 0.000], [0.000, 0.500, 0.500], [0.827, 0.827, 0.750], [0.653, 0.173, 0.250], [0.173, 0.653, 0.250]],
  "volume_a3_per_cell": 401.8,
  "delta_e_f_mev_per_atom": 101,
  "final_energy_ev_per_atom": -7.926,
  "total_magnetization_mub_per_atom": 0.000
}